Entry a
Here is crystalline SiTc2As at its relaxed geometry from the Alexandria database. Energies are from PBE-GGA.

CIF file:
```
data_SiTc2As
_chemical_formula_sum 'Si2 Tc4 As2'
_cell_length_a 8.7430
_cell_length_b 3.0447
_cell_length_c 4.4681
_cell_angle_alpha 90.00
_cell_angle_beta 107.16
_cell_angle_gamma 90.00
_symmetry_space_group_name_H-M 'C 1 m 1'
_symmetry_Int_Tables_number 8
_symmetry_space_group_name_Hall 'C -2y'
loop_
_atom_site_label
_atom_site_fract_x
_atom_site_fract_y
_atom_site_fract_z
Si1 0.0000 0.0000 0.0000
Tc1 0.0029 0.5000 0.4924
Tc2 0.2598 0.0000 0.8769
As1 0.2574 0.5000 0.3424
```

Properties
**Density**: 8.738 g/cm3
**Fermi-level density of states**: 6.02 states/eV/cell

---

Entry b
Here is crystalline SiTc2As at its relaxed geometry from the Alexandria database. Energies are from PBE-GGA.

CIF file:
```
data_SiTc2As
_chemical_formula_sum 'Si4 Tc8 As4'
_cell_length_a 3.9011
_cell_length_b 3.9011
_cell_length_c 16.8665
_cell_angle_alpha 90.00
_cell_angle_beta 90.00
_cell_angle_gamma 90.00
_symmetry_space_group_name_H-M 'I -4 2 d'
_symmetry_Int_Tables_number 122
_symmetry_space_group_name_Hall 'I -4 2bw'
loop_
_atom_site_label
_atom_site_fract_x
_atom_site_fract_y
_atom_site_fract_z
Si1 0.0000 0.0000 0.0000
Tc1 0.2260 0.2500 0.1250
As1 0.0000 0.0000 0.5000
```

Properties
**Density**: 7.737 g/cm3
**Fermi-level density of states**: 31.34 states/eV/cell

---

Entry c
Here is crystalline SiTc2As at its relaxed geometry from the Alexandria database. Energies are from PBE-GGA.

CIF file:
```
data_SiTc2As
_chemical_formula_sum 'Si4 Tc8 As4'
_cell_length_a 6.1835
_cell_length_b 6.1835
_cell_length_c 6.1835
_cell_angle_alpha 90.00
_cell_angle_beta 90.00
_cell_angle_gamma 90.00
_symmetry_space_group_name_H-M 'F -4 3 m'
_symmetry_Int_Tables_number 216
_symmetry_space_group_name_Hall 'F -4 2 3'
loop_
_atom_site_label
_atom_site_fract_x
_atom_site_fract_y
_atom_site_fract_z
Si1 0.0000 0.0000 0.0000
Tc1 0.0000 0.0000 0.5000
Tc2 0.2500 0.2500 0.2500
As1 0.2500 0.2500 0.7500
```

Properties
**Density**: 8.400 g/cm3
**Fermi-level density of states**: 10.81 states/eV/cell

---

Which structure loses on stability? entry b does.

---

Entry a
Here is crystalline Si2Tc2As at its relaxed geometry from the Alexandria database. Energies are from PBE-GGA.

CIF file:
```
data_Si2Tc2As
_chemical_formula_sum 'Si4 Tc4 As2'
_cell_length_a 3.3982
_cell_length_b 3.3982
_cell_length_c 12.9050
_cell_angle_alpha 90.00
_cell_angle_beta 90.00
_cell_angle_gamma 90.00
_symmetry_space_group_name_H-M 'I 4/m m m'
_symmetry_Int_Tables_number 139
_symmetry_space_group_name_Hall '-I 4 2'
loop_
_atom_site_label
_atom_site_fract_x
_atom_site_fract_y
_atom_site_fract_z
Si1 0.0000 0.5000 0.2500
Tc1 0.0000 0.0000 0.1120
As1 0.0000 0.0000 0.5000
```

Properties
**Density**: 7.289 g/cm3
**Fermi-level density of states**: 8.56 states/eV/cell

---

Entry b
Here is crystalline Si2Tc2As at its relaxed geometry from the Alexandria database. Energies are from PBE-GGA.

CIF file:
```
data_Si2Tc2As
_chemical_formula_sum 'Si4 Tc4 As2'
_cell_length_a 6.9434
_cell_length_b 6.9434
_cell_length_c 3.0486
_cell_angle_alpha 90.00
_cell_angle_beta 90.00
_cell_angle_gamma 90.00
_symmetry_space_group_name_H-M 'P 4/m b m'
_symmetry_Int_Tables_number 127
_symmetry_space_group_name_Hall '-P 4 2ab'
loop_
_atom_site_label
_atom_site_fract_x
_atom_site_fract_y
_atom_site_fract_z
Si1 0.1324 0.3676 0.0000
Tc1 0.1591 0.6591 0.5000
As1 0.0000 0.0000 0.5000
```

Properties
**Density**: 7.391 g/cm3
**Fermi-level density of states**: 9.28 states/eV/cell

---

Entry c
Here is crystalline Si2Tc2As at its relaxed geometry from the Alexandria database. Energies are from PBE-GGA.

CIF file:
```
data_Si2Tc2As
_chemical_formula_sum 'Si4 Tc4 As2'
_cell_length_a 7.0168
_cell_length_b 7.0168
_cell_length_c 2.9812
_cell_angle_alpha 90.00
_cell_angle_beta 90.00
_cell_angle_gamma 90.00
_symmetry_space_group_name_H-M 'P 4/m b m'
_symmetry_Int_Tables_number 127
_symmetry_space_group_name_Hall '-P 4 2ab'
loop_
_atom_site_label
_atom_site_fract_x
_atom_site_fract_y
_atom_site_fract_z
Si1 0.1320 0.3680 0.0000
Tc1 0.1595 0.6595 0.5000
As1 0.0000 0.0000 0.0000
```

Properties
**Density**: 7.401 g/cm3
**Fermi-level density of states**: 5.73 states/eV/cell

---

Which structure loses on stability? entry c does.

---

Entry a
Here is crystalline Si2TeAs at its relaxed geometry from the Alexandria database. Energies are from PBE-GGA.

CIF file:
```
data_Si2TeAs
_chemical_formula_sum 'Si4 Te2 As2'
_cell_length_a 3.3982
_cell_length_b 4.7754
_cell_length_c 10.1139
_cell_angle_alpha 90.00
_cell_angle_beta 90.00
_cell_angle_gamma 90.00
_symmetry_space_group_name_H-M 'I m m 2'
_symmetry_Int_Tables_number 44
_symmetry_space_group_name_Hall 'I 2 -2'
loop_
_atom_site_label
_atom_site_fract_x
_atom_site_fract_y
_atom_site_fract_z
Si1 0.0000 0.0000 0.0000
Si2 0.0000 0.5000 0.3019
Te1 0.0000 0.5000 0.8199
As1 0.0000 0.0000 0.6109
```

Properties
**Density**: 5.235 g/cm3
**Fermi-level density of states**: 3.33 states/eV/cell

---

Entry b
Here is crystalline Si2TeAs at its relaxed geometry from the Alexandria database. Energies are from PBE-GGA.

CIF file:
```
data_Si2TeAs
_chemical_formula_sum 'Si4 Te2 As2'
_cell_length_a 3.9215
_cell_length_b 5.7152
_cell_length_c 7.5005
_cell_angle_alpha 90.00
_cell_angle_beta 90.00
_cell_angle_gamma 90.00
_symmetry_space_group_name_H-M 'C m m m'
_symmetry_Int_Tables_number 65
_symmetry_space_group_name_Hall '-C 2 2'
loop_
_atom_site_label
_atom_site_fract_x
_atom_site_fract_y
_atom_site_fract_z
Si1 0.0000 0.0000 0.2228
Te1 0.0000 0.5000 0.5000
As1 0.0000 0.5000 0.0000
```

Properties
**Density**: 5.111 g/cm3
**Fermi-level density of states**: 2.66 states/eV/cell

---

Which structure loses on stability? entry b does.

---

Entry a
Here is crystalline Si2TeAs at its relaxed geometry from the Alexandria database. Energies are from PBE-GGA.

CIF file:
```
data_Si2TeAs
_chemical_formula_sum 'Si4 Te2 As2'
_cell_length_a 3.6405
_cell_length_b 5.3970
_cell_length_c 8.9433
_cell_angle_alpha 90.00
_cell_angle_beta 90.00
_cell_angle_gamma 90.00
_symmetry_space_group_name_H-M 'C m m 2'
_symmetry_Int_Tables_number 35
_symmetry_space_group_name_Hall 'C 2 -2'
loop_
_atom_site_label
_atom_site_fract_x
_atom_site_fract_y
_atom_site_fract_z
Si1 0.0000 0.0000 0.0000
Si2 0.0000 0.5000 0.1936
Te1 0.0000 0.5000 0.7670
As1 0.0000 0.0000 0.3775
```

Properties
**Density**: 4.889 g/cm3
**Fermi-level density of states**: 1.91 states/eV/cell

---

Entry b
Here is crystalline Si2TeAs at its relaxed geometry from the Alexandria database. Energies are from PBE-GGA.

CIF file:
```
data_Si2TeAs
_chemical_formula_sum 'Si4 Te2 As2'
_cell_length_a 3.4290
_cell_length_b 4.7933
_cell_length_c 9.8048
_cell_angle_alpha 90.00
_cell_angle_beta 90.00
_cell_angle_gamma 90.00
_symmetry_space_group_name_H-M 'I m m m'
_symmetry_Int_Tables_number 71
_symmetry_space_group_name_Hall '-I 2 2'
loop_
_atom_site_label
_atom_site_fract_x
_atom_site_fract_y
_atom_site_fract_z
Si1 0.0000 0.0000 0.2211
Te1 0.0000 0.5000 0.0000
As1 0.0000 0.5000 0.5000
```

Properties
**Density**: 5.331 g/cm3
**Fermi-level density of states**: 4.42 states/eV/cell

---

Which structure loses on stability? entry b does.

---

Entry a
Here is crystalline Si2TeAs at its relaxed geometry from the Alexandria database. Energies are from PBE-GGA.

CIF file:
```
data_Si2TeAs
_chemical_formula_sum 'Si8 Te4 As4'
_cell_length_a 6.7957
_cell_length_b 6.7957
_cell_length_c 6.7957
_cell_angle_alpha 90.00
_cell_angle_beta 90.00
_cell_angle_gamma 90.00
_symmetry_space_group_name_H-M 'F m -3 m'
_symmetry_Int_Tables_number 225
_symmetry_space_group_name_Hall '-F 4 2 3'
loop_
_atom_site_label
_atom_site_fract_x
_atom_site_fract_y
_atom_site_fract_z
Si1 0.2500 0.2500 0.2500
Te1 0.0000 0.0000 0.0000
As1 0.0000 0.0000 0.5000
```

Properties
**Density**: 5.475 g/cm3
**Fermi-level density of states**: 8.98 states/eV/cell

---

Entry b
Here is crystalline Si2TeAs at its relaxed geometry from the Alexandria database. Energies are from PBE-GGA.

CIF file:
```
data_Si2TeAs
_chemical_formula_sum 'Si2 Te1 As1'
_cell_length_a 4.3929
_cell_length_b 3.4878
_cell_length_c 7.0749
_cell_angle_alpha 90.00
_cell_angle_beta 107.69
_cell_angle_gamma 90.00
_symmetry_space_group_name_H-M 'P 1 m 1'
_symmetry_Int_Tables_number 6
_symmetry_space_group_name_Hall 'P -2y'
loop_
_atom_site_label
_atom_site_fract_x
_atom_site_fract_y
_atom_site_fract_z
Si1 0.0000 0.0000 0.0000
Si2 0.4266 0.5000 0.0784
Te1 0.5721 0.5000 0.7474
As1 0.7888 0.0000 0.2770
```

Properties
**Density**: 4.160 g/cm3
**Fermi-level density of states**: 0.57 states/eV/cell

---

Entry c
Here is crystalline Si2TeAs at its relaxed geometry from the Alexandria database. Energies are from PBE-GGA.

CIF file:
```
data_Si2TeAs
_chemical_formula_sum 'Si6 Te3 As3'
_cell_length_a 3.8664
_cell_length_b 3.8664
_cell_length_c 19.1997
_cell_angle_alpha 90.00
_cell_angle_beta 90.00
_cell_angle_gamma 120.00
_symmetry_space_group_name_H-M 'R -3 m'
_symmetry_Int_Tables_number 166
_symmetry_space_group_name_Hall '-R 3 2"'
loop_
_atom_site_label
_atom_site_fract_x
_atom_site_fract_y
_atom_site_fract_z
Si1 0.0000 0.0000 0.2400
Te1 0.0000 0.0000 0.0000
As1 0.0000 0.0000 0.5000
```

Properties
**Density**: 5.185 g/cm3
**Fermi-level density of states**: 3.82 states/eV/cell

---

Which structure loses on stability? entry a does.